Entry from Alexandria via LeMat-Bulk: crystalline LiMgNi2 at its relaxed geometry (PBE-GGA).

Output
**E_tot**: -15.0 eV/f.u.
**Formation energy**: 0.06 eV/f.u.

Lattice parameters (Å, degrees): 2.6251 4.0972 4.9393 90.00 100.94 90.00
Space group Pm (No. 6)
Asymmetric unit:
Li 0.0000 0.0000 0.0000 x1
Mg 0.7636 0.5000 0.2898 x1
Ni 0.2389 0.5000 0.7788 x1
Ni 0.4538 0.0000 0.5462 x1